A relaxed structure of La2MgSe, computed with PBE.

Values from the calculation:
The total energy comes out at -4.526 eV per atom. For the energy above the most stable polymorph in this dataset, the calculation gives 104 meV per atom.

a b c (Å): 6.2751 6.2751 4.9354
angles (deg): 96.36 96.36 37.19
With the nearest neighbours (Å) after each atom.
Fractional positions:
La 0.7397 0.7397 0.6462  4 Se 3.21-3.22, 3 Mg 3.24-3.39
Mg 0.4659 0.4659 0.5887  1 Se 2.87, 2 La 3.21
La 0.0131 0.0131 0.1070  3 Se 3.17-3.44, 4 Mg 3.21-3.24
Se 0.2813 0.2813 0.1581  1 Mg 2.87, 5 La 3.17-3.22



A relaxed structure of La2MgSe, computed with PBE.

Values from the calculation:
The total energy comes out at -4.351 eV per atom. For the energy above the most stable polymorph in this dataset, the calculation gives 279 meV per atom.

a b c (Å): 8.6505 8.6505 6.9918
angles (deg): 51.78 51.78 90.00
With the nearest neighbours (Å) after each atom.
Fractional positions:
La 0.6650 0.1250 0.2500  2 Se 2.95
Se 0.7500 0.2500 0.5000  4 La 2.95
La 0.8750 0.9150 0.7500  2 Se 2.95
Mg 0.5000 0.5000 0.0000  2 Se 3.39, 4 La 3.42
La 0.3750 0.3350 0.7500  2 Se 2.95
Se 0.0000 0.0000 0.0000  4 La 2.95
La 0.0850 0.6250 0.2500  2 Se 2.95
Mg 0.2500 0.7500 0.5000  2 Se 3.39, 4 La 3.42



A relaxed structure of LaMgSe, computed with PBE.

Values from the calculation:
The total energy comes out at -4.021 eV per atom. For the energy above the most stable polymorph in this dataset, the calculation gives 408 meV per atom.

a b c (Å): 5.0218 5.0218 5.0218
angles (deg): 60.00 60.00 60.00
With the nearest neighbours (Å) after each atom.
Fractional positions:
Mg 0.5000 0.5000 0.5000  4 Se 3.08
Se 0.2500 0.2500 0.2500  4 La 3.08, 4 Mg 3.08
La 0.0000 0.0000 0.0000  4 Se 3.08



A relaxed structure of La2MgSe4, computed with PBE.

Values from the calculation:
The total energy comes out at -5.321 eV per atom. For the energy above the most stable polymorph in this dataset, the calculation gives 76 meV per atom.

a b c (Å): 6.1047 11.4630 14.3732
angles (deg): 114.46 112.91 95.45
With the nearest neighbours (Å) after each atom.
Fractional positions:
Se 0.1573 0.6993 0.1264  2 Mg 2.58
Se 0.8995 0.6101 0.6622  1 Mg 2.75, 1 La 3.05
Se 0.2566 0.0102 0.8270  1 Mg 2.74, 2 La 3.02-3.06
La 0.1055 0.6599 0.3241  7 Se 2.95-3.18
Se 0.8427 0.3007 0.8736  2 Mg 2.58
Se 0.1005 0.3899 0.3378  1 Mg 2.75, 1 La 3.05
Se 0.1602 0.9476 0.4010  1 Mg 2.79, 3 La 2.95-3.06
Se 0.7252 0.8484 0.8995  3 La 2.85-3.15
Se 0.7434 0.9898 0.1730  1 Mg 2.74, 2 La 3.02-3.06
Se 0.8398 0.0524 0.5990  1 Mg 2.79, 3 La 2.95-3.06
Se 0.6643 0.6881 0.3872  1 Mg 2.73, 1 La 3.04
Mg 0.7371 0.5110 0.9831  4 Se 2.54-2.62
Se 0.3503 0.5681 0.8844  2 Mg 2.54-2.62
Mg 0.1508 0.1771 0.3780  5 Se 2.70-2.79
La 0.8945 0.3401 0.6759  7 Se 2.95-3.18
Se 0.6297 0.2185 0.4189  1 Mg 2.70, 3 La 2.90-2.98
La 0.7619 0.1501 0.0478  5 Se 2.92-3.19
Se 0.3357 0.3119 0.6128  1 Mg 2.73, 1 La 3.04
Se 0.3703 0.7815 0.5811  1 Mg 2.70, 3 La 2.90-2.98
Se 0.2748 0.1516 0.1005  3 La 2.85-3.15
La 0.4213 0.6083 0.6839  5 Se 2.85-3.08
La 0.2381 0.8499 0.9522  5 Se 2.92-3.19
La 0.3862 0.0666 0.6641  7 Se 2.96-3.25
Mg 0.2629 0.4890 0.0169  4 Se 2.54-2.62
Mg 0.8492 0.8229 0.6220  5 Se 2.70-2.79
La 0.6138 0.9334 0.3359  7 Se 2.96-3.25
Se 0.6497 0.4319 0.1156  2 Mg 2.54-2.62
La 0.5787 0.3917 0.3161  5 Se 2.85-3.08